No. 1
First-principles (PBE) data for a relaxed PuTl3 crystal, as listed in the Alexandria database.

It has space group Fm-3m (No. 225), with a = 7.7093 Å, b = 7.7093 Å, c = 7.7093 Å, α = 90.00°, β = 90.00° and γ = 90.00°. Symmetry generates all atoms from Pu at (0.0000, 0.0000, 0.0000), Tl at (0.0000, 0.0000, 0.5000) and Tl at (0.2500, 0.2500, 0.2500).

The crystal system is cubic. The value obtained for the formation energy is 0.3 eV/f.u.

No. 2
First-principles (PBE) data for a relaxed TbPmY2Tl2 crystal, as listed in the Alexandria database.

It has space group Pmc2_1 (No. 26), with a = 5.1380 Å, b = 10.0728 Å, c = 6.8660 Å, α = 90.00°, β = 90.00° and γ = 90.00°. Symmetry generates all atoms from Tb at (0.0000, 0.1896, 0.0000), Pm at (0.5000, 0.0436, 0.2779), Y at (0.0000, 0.4556, 0.3711), Y at (0.5000, 0.3161, 0.6549), Tl at (0.0000, 0.1370, 0.5379) and Tl at (0.5000, 0.3685, 0.1155).

The crystal system is orthorhombic. The value obtained for the formation energy is -1.7 eV/f.u.

No. 3
First-principles (PBE) data for a relaxed YTiCu2 crystal, as listed in the Alexandria database.

It has space group P4/mmm (No. 123), with a = 4.6339 Å, b = 4.6339 Å, c = 3.3277 Å, α = 90.00°, β = 90.00° and γ = 90.00°. Symmetry generates all atoms from Y at (0.0000, 0.0000, 0.0000), Ti at (0.5000, 0.5000, 0.0000) and Cu at (0.0000, 0.5000, 0.5000).

The crystal system is tetragonal. The value obtained for the distance to the lowest polymorph of the same formula is 74 meV per atom. The value obtained for the formation energy is -0.1 eV/f.u.

No. 4
First-principles (PBE) data for a relaxed Fe2Ni5Ir crystal, as listed in the Alexandria database.

It has space group Pbam (No. 55), with a = 5.1229 Å, b = 10.2206 Å, c = 3.5767 Å, α = 90.00°, β = 90.00° and γ = 90.00°. Symmetry generates all atoms from Fe at (0.2458, 0.1283, 0.0000), Ni at (0.0000, 0.0000, 0.5000), Ni at (0.0047, 0.2491, 0.5000), Ni at (0.2422, 0.8726, 0.0000) and Ir at (0.0000, 0.5000, 0.5000).

The crystal system is orthorhombic. The value obtained for the formation energy is -0.6 eV/f.u.